# 1
A plane-wave DFT calculation with PBE was carried out for a geometry-optimized Hg3AsF6 structure.

As for the total energy: -3.189 eV/atom. For the density, the calculation gives 8.4 g/cm³.

The space group is P-31m (No. 162) and the conventional cell measures 4.9883, 4.9883 and 7.2208 Å, with angles of 90.00, 90.00 and 120.00 degrees. The asymmetric unit holds Hg at (0.0000, 0.0000, 0.0000), Hg at (0.3333, 0.6667, 0.0000), As at (0.0000, 0.0000, 0.5000) and F at (0.0000, 0.2894, 0.6422).

# 2
A plane-wave DFT calculation with PBE was carried out for a geometry-optimized HgAsF7 structure.

As for the total energy: -3.801 eV/atom. For the density, the calculation gives 6.2 g/cm³.

The space group is P2_1/c (No. 14) and the conventional cell measures 6.9818, 8.7225 and 7.4653 Å, with angles of 90.00, 107.19 and 90.00 degrees. The asymmetric unit holds Hg at (0.1367, 0.2468, 0.3364), As at (0.3300, 0.5989, 0.6910), F at (0.1315, 0.5555, 0.7893), F at (0.1357, 0.1390, 0.5848), F at (0.1647, 0.5663, 0.4626), F at (0.2499, 0.7091, 0.1661), F at (0.3762, 0.1021, 0.2056), F at (0.4701, 0.1246, 0.9004) and F at (0.4844, 0.6291, 0.9159).

# 3
A plane-wave DFT calculation with PBE was carried out for a geometry-optimized Hg3As2F12 structure.

As for the total energy: -3.686 eV/atom. For the density, the calculation gives 6.8 g/cm³.

The space group is P2_1/c (No. 14) and the conventional cell measures 5.3718, 8.2964 and 10.8032 Å, with angles of 90.00, 91.49 and 90.00 degrees. The asymmetric unit holds Hg at (0.0000, 0.0000, 0.0000), Hg at (0.2265, 0.2433, 0.5741), As at (0.3192, 0.6570, 0.1737), F at (0.0392, 0.5510, 0.1427), F at (0.1522, 0.6744, 0.7232), F at (0.3091, 0.7293, 0.0198), F at (0.3407, 0.5808, 0.3254), F at (0.3927, 0.2425, 0.8049) and F at (0.4903, 0.0143, 0.6233).

# 4
A plane-wave DFT calculation with PBE was carried out for a geometry-optimized Hg2AsF6 structure.

As for the total energy: -3.529 eV/atom. For the density, the calculation gives 7.1 g/cm³.

The space group is P2_1/c (No. 14) and the conventional cell measures 5.1924, 11.0553 and 9.6597 Å, with angles of 90.00, 91.40 and 90.00 degrees. The asymmetric unit holds Hg at (0.0055, 0.0269, 0.3688), Hg at (0.0081, 0.5915, 0.3972), As at (0.4985, 0.2094, 0.8265), F at (0.2056, 0.1861, 0.7334), F at (0.2064, 0.7355, 0.5800), F at (0.3222, 0.2465, 0.9750), F at (0.3258, 0.6736, 0.8219), F at (0.4940, 0.5572, 0.6212) and F at (0.4965, 0.1357, 0.2800).

# 5
A plane-wave DFT calculation with PBE was carried out for a geometry-optimized Rb2HgAsF6 structure.

As for the total energy: -3.877 eV/atom. For the density, the calculation gives 5.4 g/cm³.

The space group is Fm-3m (No. 225) and the conventional cell measures 8.8471, 8.8471 and 8.8471 Å, with angles of 90.00, 90.00 and 90.00 degrees. The asymmetric unit holds Rb at (0.2500, 0.2500, 0.2500), Hg at (0.0000, 0.0000, 0.0000), As at (0.0000, 0.0000, 0.5000) and F at (0.0000, 0.0000, 0.2747).

# 6
A plane-wave DFT calculation with PBE was carried out for a geometry-optimized TaAsO2F6 structure.

Its total magnetic moment is 0.0 μB/f.u. As for the total energy: -5.852 eV/atom. For the density, the calculation gives 6.2 g/cm³.

The space group is C2/m (No. 12) and the conventional cell measures 6.3302, 7.2545 and 4.9076 Å, with angles of 90.00, 106.77 and 90.00 degrees. The asymmetric unit holds Ta at (0.0000, 0.0000, 0.0000), As at (0.0000, 0.5000, 0.5000), O at (0.1756, 0.5000, 0.8373), F at (0.0028, 0.1948, 0.7411) and F at (0.2216, 0.5000, 0.3624).